A relaxed structure of SrCoAs2O8, computed with PBE+U.

DFT total energy in eV/atom: -6.015

Lattice parameters (Å, degrees): 8.071 8.071 8.071 34.98 34.98 34.98
Fractional coordinates of all 12 atoms:
Sr 0.000 0.000 0.000
Co 0.500 0.500 0.500
As 0.235 0.235 0.235
As 0.765 0.765 0.765
O 0.141 0.446 0.766
O 0.234 0.859 0.554
O 0.310 0.310 0.310
O 0.446 0.766 0.141
O 0.554 0.234 0.859
O 0.690 0.690 0.690
O 0.766 0.141 0.446
O 0.859 0.554 0.234